No. 1
! GePbW2S | the Alexandria database | GGA-PBE | relaxed; values from VASP
! - Crystal system: tetragonal
! - SG: P4/mmm (123)
! - Fermi-level density of states: 4.47 states/eV/f.u.
! - Calculated total energy: -6.46 eV per atom
&SYSTEM
  ibrav = 0, nat = 5, ntyp = 4
/
ATOMIC_SPECIES
Ge 72.64 Ge.upf
Pb 207.20 Pb.upf
W 183.84 W.upf
S 32.06 S.upf
CELL_PARAMETERS angstrom
4.450 0.000 0.000
0.000 4.450 0.000
0.000 0.000 5.648
ATOMIC_POSITIONS angstrom
Ge 0.000 0.000 0.000
Pb 2.225 2.225 0.000
W 0.000 2.225 2.824
W 2.225 0.000 2.824
S 2.225 2.225 2.824

No. 2
! ZnGe2PbS6 | the Alexandria database | GGA-PBE | relaxed; values from VASP
! - Crystal system: monoclinic
! - SG: C2/c (15)
! - Calculated total energy: -4.26 eV per atom
&SYSTEM
  ibrav = 0, nat = 20, ntyp = 4
/
ATOMIC_SPECIES
Zn 65.41 Zn.upf
Ge 72.64 Ge.upf
Pb 207.20 Pb.upf
S 32.06 S.upf
CELL_PARAMETERS angstrom
6.399 -6.254 0.000
6.399 6.254 0.000
-2.454 0.000 6.373
ATOMIC_POSITIONS angstrom
Zn 4.559 3.336 4.779
Zn 5.785 -3.336 1.593
Ge 3.127 0.916 1.941
Ge 1.900 -0.916 5.127
Ge 8.444 0.916 1.246
Ge 7.217 -0.916 4.432
Pb 5.785 4.726 1.593
Pb 4.559 -4.726 4.779
S 0.998 0.963 1.244
S 3.670 2.942 2.710
S -0.229 -0.963 4.430
S 4.627 0.797 0.199
S 7.901 2.942 0.477
S 3.400 -0.797 3.386
S 6.944 0.797 2.987
S 2.443 -2.942 5.896
S 5.717 -0.797 6.173
S 10.573 0.963 1.943
S 6.674 -2.942 3.663
S 9.346 -0.963 5.129

No. 3
! Zr2GePbS | the Alexandria database | GGA-PBE | relaxed; values from VASP
! - Crystal system: tetragonal
! - SG: P4/mmm (123)
! - Fermi-level density of states: 4.48 states/eV/f.u.
! - Calculated total energy: -5.87 eV per atom
&SYSTEM
  ibrav = 0, nat = 5, ntyp = 4
/
ATOMIC_SPECIES
Zr 91.22 Zr.upf
Ge 72.64 Ge.upf
Pb 207.20 Pb.upf
S 32.06 S.upf
CELL_PARAMETERS angstrom
4.836 0.000 0.000
0.000 4.836 0.000
0.000 0.000 5.445
ATOMIC_POSITIONS angstrom
Zr 0.000 2.418 0.000
Zr 2.418 0.000 0.000
Ge 0.000 0.000 2.723
Pb 2.418 2.418 2.723
S 2.418 2.418 0.000

No. 4
! Ge2Sb2Pb | the Alexandria database | GGA-PBE | relaxed; values from VASP
! - Crystal system: tetragonal
! - SG: I4/mmm (139)
! - Fermi-level density of states: 2.22 states/eV/f.u.
! - Calculated total energy: -4.03 eV per atom
&SYSTEM
  ibrav = 0, nat = 5, ntyp = 3
/
ATOMIC_SPECIES
Ge 72.64 Ge.upf
Sb 121.76 Sb.upf
Pb 207.20 Pb.upf
CELL_PARAMETERS angstrom
-2.049 2.049 7.911
2.049 -2.049 7.911
2.049 2.049 -7.911
ATOMIC_POSITIONS angstrom
Ge 2.049 0.000 3.955
Ge 0.000 2.049 3.955
Sb 0.000 0.000 1.694
Sb 0.000 0.000 14.127
Pb 0.000 0.000 7.911

No. 5
! Ge3SbPb | the Alexandria database | GGA-PBE | relaxed; values from VASP
! - Crystal system: cubic
! - SG: Pm-3m (221)
! - Fermi-level density of states: 4.38 states/eV/f.u.
! - Calculated total energy: -3.57 eV per atom
&SYSTEM
  ibrav = 0, nat = 5, ntyp = 3
/
ATOMIC_SPECIES
Ge 72.64 Ge.upf
Sb 121.76 Sb.upf
Pb 207.20 Pb.upf
CELL_PARAMETERS angstrom
5.356 0.000 0.000
0.000 5.356 0.000
0.000 0.000 5.356
ATOMIC_POSITIONS angstrom
Ge 0.000 0.000 2.678
Ge 0.000 2.678 0.000
Ge 2.678 0.000 0.000
Sb 0.000 0.000 0.000
Pb 2.678 2.678 2.678

No. 6
! Ge2Sb2Pb | the Alexandria database | GGA-PBE | relaxed; values from VASP
! - Crystal system: tetragonal
! - SG: P4/mbm (127)
! - Fermi-level density of states: 2.71 states/eV/f.u.
! - Calculated total energy: -4.01 eV per atom
&SYSTEM
  ibrav = 0, nat = 10, ntyp = 3
/
ATOMIC_SPECIES
Ge 72.64 Ge.upf
Sb 121.76 Sb.upf
Pb 207.20 Pb.upf
CELL_PARAMETERS angstrom
8.254 0.000 0.000
0.000 8.254 0.000
0.000 0.000 3.734
ATOMIC_POSITIONS angstrom
Ge 1.090 3.037 0.000
Ge 3.037 7.164 0.000
Ge 5.217 1.090 0.000
Ge 7.164 5.217 0.000
Sb 1.290 5.417 1.867
Sb 2.837 1.290 1.867
Sb 5.417 6.963 1.867
Sb 6.963 2.837 1.867
Pb 0.000 0.000 0.000
Pb 4.127 4.127 0.000

No. 7
! GeSb3Pb | the Alexandria database | GGA-PBE | relaxed; values from VASP
! - Crystal system: cubic
! - SG: Pm-3m (221)
! - Fermi-level density of states: 5.46 states/eV/f.u.
! - Calculated total energy: -3.64 eV per atom
&SYSTEM
  ibrav = 0, nat = 5, ntyp = 3
/
ATOMIC_SPECIES
Ge 72.64 Ge.upf
Sb 121.76 Sb.upf
Pb 207.20 Pb.upf
CELL_PARAMETERS angstrom
5.397 0.000 0.000
0.000 5.397 0.000
0.000 0.000 5.397
ATOMIC_POSITIONS angstrom
Ge 0.000 0.000 0.000
Sb 0.000 0.000 2.698
Sb 0.000 2.698 0.000
Sb 2.698 0.000 0.000
Pb 2.698 2.698 2.698

No. 8
! GeSb3Pb | the Alexandria database | GGA-PBE | relaxed; values from VASP
! - Crystal system: cubic
! - SG: Pm-3m (221)
! - Fermi-level density of states: 7.78 states/eV/f.u.
! - Calculated total energy: -3.02 eV per atom
&SYSTEM
  ibrav = 0, nat = 5, ntyp = 3
/
ATOMIC_SPECIES
Ge 72.64 Ge.upf
Sb 121.76 Sb.upf
Pb 207.20 Pb.upf
CELL_PARAMETERS angstrom
5.732 0.000 0.000
0.000 5.732 0.000
0.000 0.000 5.732
ATOMIC_POSITIONS angstrom
Ge 0.000 0.000 0.000
Sb 0.000 2.866 2.866
Sb 2.866 0.000 2.866
Sb 2.866 2.866 0.000
Pb 2.866 2.866 2.866

| no. | magnetic moment (μB/cell) | formation energy without anion corrections (eV/atom) |
| --- | --- | --- |
| 1 | 0.00 | 1.2143 |
| 2 | 0.00 | -0.3637 |
| 3 | 0.00 | 0.0417 |
| 4 | 0.00 | 0.2101 |
| 5 | 0.00 | 0.7663 |
| 6 | 0.00 | 0.2231 |
| 7 | 0.00 | 0.4977 |
| 8 | 0.00 | 1.1184 |